Material: BaAlN2
Method: DFT, GGA-PBE
State: optimized geometry

a b c (Å): 6.7513 6.7513 6.7513
angles (deg): 36.37 36.37 36.37
Element x y z (fractional)
Ba: 0.0000 0.0000 0.0000
Al: 0.5000 0.5000 0.5000
N: 0.4070 0.4070 0.4070
N: 0.5930 0.5930 0.5930

- formation energy without anion corrections (eV per atom) = 0.05
- space group = R-3m, No. 166



Material: GdY2Al
Method: DFT, GGA-PBE
State: optimized geometry

a b c (Å): 4.8034 4.8034 4.7506
angles (deg): 90.00 90.00 90.00
Element x y z (fractional)
Gd: 0.0000 0.0000 0.0000
Y: 0.0000 0.5000 0.5000
Y: 0.5000 0.0000 0.5000
Al: 0.5000 0.5000 0.0000

- ΔE_f (eV/atom) = -0.192
- space group = P4/mmm, No. 123
- offset from the most stable computed form (meV/atom) = 4



Material: CaAcAlPb
Method: DFT, GGA-PBE
State: optimized geometry

a b c (Å): 5.6148 5.6148 5.6148
angles (deg): 60.00 60.00 60.00
Element x y z (fractional)
Ca: 0.0000 0.0000 0.0000
Ac: 0.5000 0.5000 0.5000
Al: 0.2500 0.2500 0.2500
Pb: 0.7500 0.7500 0.7500

- ΔE_f (eV/atom) = -0.321
- space group = F-43m, No. 216



Material: HfCdPCl2
Method: DFT, GGA-PBE
State: optimized geometry

a b c (Å): 4.9297 4.9297 5.1988
angles (deg): 90.00 90.00 90.00
Element x y z (fractional)
Hf: 0.0000 0.0000 0.0000
Cd: 0.5000 0.5000 0.5000
P: 0.0000 0.0000 0.5000
Cl: 0.0000 0.5000 0.0000
Cl: 0.5000 0.0000 0.0000

- formation energy without anion corrections (eV per atom) = -0.64
- space group = P4/mmm, No. 123
- offset from the most stable computed form (meV/atom) = 0